# 1
Material: KTl2Pb2
Method: DFT, PBEsol
State: optimized geometry

Structure (POSCAR):
```
KTl2Pb2
1.0
3.579 0.000 0.000
0.000 9.403 0.000
0.000 0.000 9.403
Pb Tl K
4 4 2
direct
0.000 0.870 0.630
0.000 0.130 0.370
0.000 0.630 0.130
0.000 0.370 0.870
0.500 0.837 0.337
0.500 0.163 0.663
0.500 0.663 0.837
0.500 0.337 0.163
0.000 0.500 0.500
0.000 0.000 0.000
```

Computed properties:
Relative energy among the computed polymorphs: 0.0 meV/atom
Raw total energy: -2.932 eV/atom
ΔE_f: -5.2 kJ/mol of atoms



# 2
Material: ZnSbOs2
Method: DFT, PBEsol
State: optimized geometry

Structure (POSCAR):
```
ZnSbOs2
1.0
2.920 -0.004 0.000
-0.145 5.062 0.000
-1.388 -2.529 4.288
Os Zn Sb
2 1 1
direct
0.500 0.500 0.500
0.000 0.000 0.500
0.500 0.000 0.000
0.000 0.500 0.000
```

Computed properties:
Relative energy among the computed polymorphs: 298.8 meV/atom
Raw total energy: -6.985 eV/atom
E_form (uncorrected): 658 meV/atom



# 3
Material: Cu3BiSb
Method: DFT, PBEsol
State: optimized geometry

Structure (POSCAR):
```
Cu3BiSb
1.0
-0.434 1.184 -4.713
2.828 -3.786 -1.211
-3.951 -2.840 -0.350
Sb Cu Bi
1 3 1
direct
0.500 0.500 0.500
0.000 0.500 0.000
0.500 0.000 0.000
0.000 0.000 0.500
0.000 0.000 0.000
```

Computed properties:
Raw total energy: -3.385 eV/atom
E_form (uncorrected): 984 meV/atom



# 4
Material: KCo2AuN
Method: DFT, PBEsol
State: optimized geometry

Structure (POSCAR):
```
KCo2AuN
1.0
4.350 0.000 0.000
0.000 4.350 0.000
0.000 0.000 5.221
N K Co Au
1 1 2 1
direct
0.500 0.500 0.500
0.000 0.000 0.000
0.000 0.500 0.000
0.500 0.000 0.000
0.000 0.000 0.500
```

Computed properties:
Raw total energy: -2.535 eV/atom
E_form (uncorrected): 3277 meV/atom



# 5
Material: Cs5SiAs3
Method: DFT, PBEsol
State: optimized geometry

Structure (POSCAR):
```
Cs5SiAs3
1.0
-0.086 -0.211 5.956
4.518 -13.597 -0.417
14.941 4.953 0.392
Cs As Si
20 12 4
direct
0.250 0.549 0.653
0.750 0.146 0.952
0.250 0.064 0.548
0.250 0.854 0.048
0.250 0.564 0.952
0.250 0.621 0.187
0.250 0.777 0.795
0.750 0.879 0.687
0.250 0.121 0.313
0.750 0.951 0.153
0.250 0.049 0.847
0.750 0.379 0.813
0.750 0.936 0.452
0.750 0.646 0.548
0.250 0.354 0.452
0.750 0.223 0.205
0.250 0.277 0.705
0.750 0.723 0.295
0.750 0.436 0.048
0.750 0.451 0.347
0.250 0.867 0.323
0.250 0.601 0.412
0.750 0.192 0.427
0.750 0.899 0.912
0.750 0.133 0.677
0.750 0.399 0.588
0.250 0.308 0.927
0.250 0.101 0.088
0.750 0.692 0.073
0.250 0.808 0.573
0.750 0.633 0.823
0.250 0.367 0.177
0.750 0.240 0.567
0.250 0.760 0.433
0.250 0.260 0.067
0.750 0.740 0.933
```

Computed properties:
Raw total energy: -3.308 eV/atom
E_form (uncorrected): -444 meV/atom



# 6
Material: Ca2TlCr
Method: DFT, PBEsol
State: optimized geometry

Structure (POSCAR):
```
Ca2TlCr
1.0
-0.207 -1.683 -3.393
-1.732 -4.397 2.286
-4.944 1.683 -0.533
Tl Cr Ca
1 1 2
direct
0.500 0.500 0.500
0.500 0.000 0.000
0.000 0.500 0.000
0.000 0.000 0.500
```

Computed properties:
Relative energy among the computed polymorphs: 0.0 meV/atom
Raw total energy: -4.116 eV/atom
ΔE_f: 16.3 kJ/mol of atoms



# 7
Material: MgIr2BrCl
Method: DFT, PBEsol
State: optimized geometry

Structure (POSCAR):
```
MgIr2BrCl
1.0
4.293 0.000 0.000
0.000 4.293 0.000
0.000 0.000 5.757
Cl Mg Br Ir
1 1 1 2
direct
0.000 0.000 0.000
0.000 0.000 0.500
0.500 0.500 0.500
0.000 0.500 0.000
0.500 0.000 0.000
```

Computed properties:
Raw total energy: -4.012 eV/atom
E_form (uncorrected): 1036 meV/atom



# 8
Material: Li2HO
Method: DFT, PBEsol
State: optimized geometry

Structure (POSCAR):
```
Li2HO
1.0
-2.035 -3.214 0.239
3.210 -2.046 -0.194
-0.177 2.767 5.304
H O Li
2 2 4
direct
0.750 0.250 0.500
0.500 0.500 0.000
0.250 0.750 0.500
0.000 0.000 0.000
0.125 0.089 0.750
0.339 0.875 0.250
0.625 0.661 0.750
0.911 0.375 0.250
```

Computed properties:
Raw total energy: -3.790 eV/atom



# 9
Material: OsPdC3
Method: DFT, PBEsol
State: optimized geometry

Structure (POSCAR):
```
OsPdC3
1.0
3.858 0.000 0.000
0.000 3.858 0.000
0.000 0.000 3.858
C Pd Os
3 1 1
direct
0.000 0.000 0.500
0.000 0.500 0.000
0.500 0.000 0.000
0.000 0.000 0.000
0.500 0.500 0.500
```

Computed properties:
Relative energy among the computed polymorphs: 1143.1 meV/atom
Raw total energy: -6.346 eV/atom
ΔE_f: 296.7 kJ/mol of atoms



# 10
Material: CrAg3Cl
Method: DFT, PBEsol
State: optimized geometry

Structure (POSCAR):
```
CrAg3Cl
1.0
4.949 0.000 0.000
0.000 4.949 0.000
0.000 0.000 4.949
Cl Ag Cr
1 3 1
direct
0.500 0.500 0.500
0.000 0.500 0.000
0.000 0.000 0.500
0.500 0.000 0.000
0.000 0.000 0.000
```

Computed properties:
Raw total energy: -3.317 eV/atom
E_form (uncorrected): 1119 meV/atom



# 11
Material: Ba3Nb5O15
Method: DFT, PBEsol
State: optimized geometry

Structure (POSCAR):
```
Ba3Nb5O15
1.0
4.008 0.000 0.000
0.000 12.687 0.000
0.000 0.000 12.687
O Nb Ba
30 10 6
direct
0.500 0.278 0.222
0.500 0.933 0.861
0.500 0.657 0.007
0.500 0.778 0.278
0.500 0.722 0.778
0.500 0.007 0.343
0.500 0.157 0.493
0.500 0.567 0.361
0.500 0.843 0.507
0.000 0.421 0.292
0.500 0.993 0.657
0.500 0.222 0.722
0.500 0.861 0.067
0.500 0.493 0.843
0.000 0.208 0.079
0.000 0.292 0.579
0.500 0.361 0.433
0.500 0.139 0.933
0.500 0.433 0.639
0.000 0.708 0.421
0.000 0.579 0.708
0.000 0.500 0.000
0.000 0.000 0.500
0.000 0.921 0.208
0.000 0.079 0.792
0.500 0.067 0.139
0.500 0.343 0.993
0.500 0.507 0.157
0.000 0.792 0.921
0.500 0.639 0.567
0.500 0.712 0.422
0.500 0.288 0.578
0.500 0.578 0.712
0.500 0.212 0.078
0.500 0.078 0.788
0.500 0.422 0.288
0.500 0.500 0.000
0.500 0.922 0.212
0.500 0.788 0.922
0.500 0.000 0.500
0.000 0.333 0.833
0.000 0.500 0.500
0.000 0.167 0.333
0.000 0.000 0.000
0.000 0.667 0.167
0.000 0.833 0.667
```

Computed properties:
Raw total energy: -8.829 eV/atom
E_form (uncorrected): -2772 meV/atom



# 12
Material: AsIrCl2
Method: DFT, PBEsol
State: optimized geometry

Structure (POSCAR):
```
AsIrCl2
1.0
3.658 0.000 0.000
-1.829 3.168 0.000
0.000 0.000 7.721
Ir Cl As
1 2 1
direct
0.333 0.667 0.533
0.000 0.000 0.950
0.667 0.333 0.347
0.000 0.000 0.670
```

Computed properties:
Relative energy among the computed polymorphs: 0.0 meV/atom
Raw total energy: -5.185 eV/atom
E_form (uncorrected): -449 meV/atom



# 13
Material: MnNbSiC2
Method: DFT, PBEsol
State: optimized geometry

Structure (POSCAR):
```
MnNbSiC2
1.0
3.694 0.000 0.000
0.000 3.694 0.000
0.000 0.000 4.921
Mn Nb C Si
1 1 2 1
direct
0.500 0.500 0.500
0.000 0.000 0.500
0.500 0.000 0.000
0.000 0.500 0.000
0.000 0.000 0.000
```

Computed properties:
Raw total energy: -7.300 eV/atom
E_form (uncorrected): 1824 meV/atom



# 14
Material: Tl2SnHg2
Method: DFT, PBEsol
State: optimized geometry

Structure (POSCAR):
```
Tl2SnHg2
1.0
-1.598 0.563 -3.942
4.892 -5.526 -2.772
-5.440 -5.527 1.416
Tl Hg Sn
4 4 2
direct
0.500 0.667 0.833
0.500 0.333 0.167
0.500 0.833 0.333
0.500 0.167 0.667
0.000 0.636 0.136
0.000 0.364 0.864
0.000 0.136 0.364
0.000 0.864 0.636
0.000 0.500 0.500
0.000 0.000 0.000
```

Computed properties:
Raw total energy: -2.094 eV/atom
ΔE_f: 3.6 kJ/mol of atoms



# 15
Material: Mn2TlPb
Method: DFT, PBEsol
State: optimized geometry

Structure (POSCAR):
```
Mn2TlPb
1.0
4.909 0.000 0.000
2.455 4.252 0.000
2.455 1.417 4.008
Pb Mn Tl
1 2 1
direct
0.500 0.500 0.500
0.000 0.000 0.000
0.750 0.750 0.750
0.250 0.250 0.250
```

Computed properties:
Raw total energy: -5.657 eV/atom
ΔE_f: 85.0 kJ/mol of atoms



# 16
Material: LiY2CuH
Method: DFT, PBEsol
State: optimized geometry

Structure (POSCAR):
```
LiY2CuH
1.0
-0.077 0.059 -3.632
-3.338 -3.493 0.014
-3.491 3.337 0.128
Li Cu Y H
1 1 2 1
direct
0.500 0.000 0.000
0.500 0.500 0.500
0.000 0.500 0.000
0.000 0.000 0.500
0.000 0.000 0.000
```

Computed properties:
Raw total energy: -4.879 eV/atom



# 17
Material: BaCd2Pd2
Method: DFT, PBEsol
State: optimized geometry

Structure (POSCAR):
```
BaCd2Pd2
1.0
-0.316 4.667 -0.970
-0.691 -1.007 -4.618
-4.654 -2.011 3.606
Ba Pd Cd
1 2 2
direct
0.000 0.000 0.000
0.250 0.750 0.500
0.750 0.250 0.500
0.366 0.366 0.732
0.634 0.634 0.268
```

Computed properties:
Raw total energy: -3.657 eV/atom
ΔE_f: -35.2 kJ/mol of atoms



# 18
Material: CaCoSi
Method: DFT, PBEsol
State: optimized geometry

Structure (POSCAR):
```
CaCoSi
1.0
3.844 0.000 0.000
-1.922 3.329 0.000
0.000 0.000 4.345
Ca Si Co
1 1 1
direct
0.000 0.000 0.500
0.667 0.333 0.000
0.333 0.667 0.000
```

Computed properties:
Raw total energy: -5.549 eV/atom
E_form (uncorrected): -344 meV/atom



# 19
Material: Nb3MoSe8
Method: DFT, PBEsol
State: optimized geometry

Structure (POSCAR):
```
Nb3MoSe8
1.0
3.388 0.000 0.000
0.000 5.871 0.030
0.000 -2.047 12.492
Nb Se Mo
3 8 1
direct
0.000 0.335 0.502
0.500 0.328 0.001
0.500 0.833 0.502
0.000 0.713 0.637
0.500 0.716 0.130
0.000 0.117 0.866
0.000 0.208 0.135
0.000 0.621 0.366
0.500 0.121 0.366
0.500 0.628 0.871
0.500 0.212 0.637
0.000 0.839 0.001
```

Computed properties:
Raw total energy: -7.075 eV/atom
E_form (uncorrected): -822 meV/atom



# 20
Material: CuRh2
Method: DFT, PBEsol
State: optimized geometry

Structure (POSCAR):
```
CuRh2
1.0
-3.630 1.359 -0.817
-3.073 -1.078 2.255
-1.714 2.640 2.404
Cu Rh
1 2
direct
0.000 0.000 0.000
0.750 0.750 0.750
0.250 0.250 0.250
```

Computed properties:
Relative energy among the computed polymorphs: 645.2 meV/atom
Raw total energy: -6.170 eV/atom
ΔE_f: 67.6 kJ/mol of atoms